Entry 1:
Density functional theory data (PBE) for a geometry-optimized HoTiCr4 structure.

a b c (Å): 5.025 5.025 5.025
angles (deg): 60.00 60.00 60.00
Fractional positions:
Ho  0.000  0.000  0.000
Ti  0.750  0.750  0.750
Cr  0.375  0.375  0.375
Cr  0.375  0.375  0.875
Cr  0.375  0.875  0.375
Cr  0.875  0.375  0.375

Space-group type   No. 216
DFT formation energy   0.170 eV per atom
Magnetic moment   0.0 μB/f.u.
E   -49.94 eV for the cell shown

***

Entry 2:
Density functional theory data (PBE) for a geometry-optimized HoTmZnCr structure.

a b c (Å): 4.996 4.996 4.996
angles (deg): 60.00 60.00 60.00
Fractional positions:
Ho  0.000  0.000  0.000
Tm  0.500  0.500  0.500
Zn  0.750  0.750  0.750
Cr  0.250  0.250  0.250

Space-group type   No. 216
DFT formation energy   0.000 eV per atom
Magnetic moment   3.5 μB/f.u.
E   -19.95 eV for the cell shown

***

Entry 3:
Density functional theory data (PBE) for a geometry-optimized HoVCr structure.

a b c (Å): 3.184 3.184 10.756
angles (deg): 90.00 90.00 90.98
Fractional positions:
Ho  0.000  0.000  0.188
Ho  0.000  0.000  0.812
V  0.000  0.000  0.500
V  0.500  0.500  0.000
Cr  0.500  0.500  0.376
Cr  0.500  0.500  0.624

Space-group type   No. 65
DFT formation energy   0.414 eV per atom
Magnetic moment   2.7 μB/f.u.
E   -44.16 eV for the cell shown

***

Entry 4:
Density functional theory data (PBE) for a geometry-optimized YHoZnCr structure.

a b c (Å): 5.042 5.042 5.042
angles (deg): 60.00 60.00 60.00
Fractional positions:
Y  0.000  0.000  0.000
Ho  0.500  0.500  0.500
Zn  0.750  0.750  0.750
Cr  0.250  0.250  0.250

Space-group type   No. 216
DFT formation energy   0.005 eV per atom
Magnetic moment   3.5 μB/f.u.
E   -21.92 eV for the cell shown